1.
DFT (PBE-GGA) results for a geometry-optimized NbOs3Ru2 structure.

a = 2.7663 Å, b = 8.8046 Å, c = 9.6909 Å
α = 116.85°, β = 90.00°, γ = 118.12°
With the nearest neighbours (Å) after each atom.
Sites, in units of the cell vectors:
Nb: 0.7531 0.1688 0.4034  5 Ru 2.71-2.85, 5 Os 2.73-2.86, 2 Nb 2.77
Nb: 0.2469 0.8312 0.5966  5 Ru 2.71-2.85, 5 Os 2.73-2.86, 2 Nb 2.77
Os: 0.7322 0.8214 0.3342  6 Os 2.65-2.77, 1 Ru 2.73, 4 Nb 2.79-2.86
Os: 0.7437 0.1625 0.8980  4 Ru 2.68-2.78, 7 Os 2.70-2.79, 1 Nb 2.73
Os: 0.7494 0.4995 0.1311  3 Ru 2.64-2.73, 9 Os 2.65-2.90
Os: 0.2678 0.1786 0.6658  6 Os 2.65-2.77, 1 Ru 2.73, 4 Nb 2.79-2.86
Os: 0.2506 0.5005 0.8689  3 Ru 2.64-2.73, 9 Os 2.65-2.90
Os: 0.2563 0.8375 0.1020  4 Ru 2.68-2.78, 7 Os 2.70-2.79, 1 Nb 2.73
Ru: 0.2277 0.4850 0.3574  3 Os 2.64-2.73, 4 Ru 2.70-2.77, 3 Nb 2.71-2.85
Ru: 0.7723 0.5150 0.6426  3 Os 2.64-2.73, 4 Ru 2.70-2.77, 3 Nb 2.71-2.85
Ru: 0.2355 0.1570 0.1447  5 Ru 2.61-2.77, 5 Os 2.68-2.78, 2 Nb 2.82
Ru: 0.7645 0.8430 0.8553  5 Ru 2.61-2.77, 5 Os 2.68-2.78, 2 Nb 2.82

**Calculated total energy**: -124.816 eV/cell
**SG**: No. 12
**DOS(E_F)**: 10.70 states/eV per cell
**Formation energy from the elements**: -16 meV per atom


2.
DFT (PBE-GGA) results for a geometry-optimized CsFe3Re structure.

a = 4.7114 Å, b = 4.7114 Å, c = 4.7114 Å
α = 90.00°, β = 90.00°, γ = 90.00°
With the nearest neighbours (Å) after each atom.
Sites, in units of the cell vectors:
Cs: 0.0000 0.0000 0.0000  6 Fe 2.36
Re: 0.5000 0.5000 0.5000  12 Fe 3.33
Fe: 0.0000 0.5000 0.0000  2 Cs 2.36
Fe: 0.0000 0.0000 0.5000  2 Cs 2.36
Fe: 0.5000 0.0000 0.0000  2 Cs 2.36

**Calculated total energy**: -22.824 eV/cell
**SG**: No. 221
**DOS(E_F)**: 12.91 states/eV per cell
**Formation energy from the elements**: 3173 meV per atom


3.
DFT (PBE-GGA) results for a geometry-optimized LiTl3S structure.

a = 5.7409 Å, b = 5.7409 Å, c = 5.7409 Å
α = 90.00°, β = 90.00°, γ = 90.00°
With the nearest neighbours (Å) after each atom.
Sites, in units of the cell vectors:
Tl: 0.0000 0.5000 0.0000  2 S 2.87
Tl: 0.0000 0.0000 0.5000  2 S 2.87
Tl: 0.5000 0.0000 0.0000  2 S 2.87
S: 0.0000 0.0000 0.0000  6 Tl 2.87
Li: 0.5000 0.5000 0.5000  12 Tl 4.06

**Calculated total energy**: -12.330 eV/cell
**SG**: No. 221
**DOS(E_F)**: 3.89 states/eV per cell
**Energy above the most stable polymorph in this dataset**: 0.072 eV per atom
**Formation energy from raw total energies**: 0.162 eV/atom


4.
DFT (PBE-GGA) results for a geometry-optimized LaHo6Th structure.

a = 5.0297 Å, b = 5.0297 Å, c = 10.0852 Å
α = 90.00°, β = 90.00°, γ = 90.00°
With the nearest neighbours (Å) after each atom.
Sites, in units of the cell vectors:
La: 0.0000 0.0000 0.0000  12 Ho 3.56-3.60
Ho: 0.5000 0.5000 0.0000  4 La 3.56, 8 Ho 3.60
Ho: 0.5000 0.5000 0.5000  8 Ho 3.52, 4 Th 3.56
Ho: 0.5000 0.0000 0.2560  2 Th 3.52, 8 Ho 3.52-3.60, 2 La 3.60
Ho: 0.5000 0.0000 0.7440  8 Ho 3.52-3.60, 2 Th 3.52, 2 La 3.60
Ho: 0.0000 0.5000 0.2560  2 Th 3.52, 8 Ho 3.52-3.60, 2 La 3.60
Ho: 0.0000 0.5000 0.7440  8 Ho 3.52-3.60, 2 Th 3.52, 2 La 3.60
Th: 0.0000 0.0000 0.5000  12 Ho 3.52-3.56

**Calculated total energy**: -39.566 eV/cell
**SG**: No. 123
**DOS(E_F)**: 11.99 states/eV per cell
**Formation energy from the elements**: 31 meV per atom
**Energy above the most stable polymorph in this dataset**: 0.000 eV per atom